Record 1
Compound: RbTa3O
Source: the Alexandria database
Functional: PBE-GGA
Structure: optimized geometry

It has space group Pm-3m (No. 221), with a = 4.801 Å, b = 4.801 Å, c = 4.801 Å, α = 90.00°, β = 90.00° and γ = 90.00°. The asymmetric unit holds Rb at (0.000, 0.000, 0.000), Ta at (0.000, 0.000, 0.500) and O at (0.500, 0.500, 0.500).

Its total energy is -4.57 eV/atom. The value obtained for the uncorrected formation energy is 3.726 eV/atom. The crystal system is cubic. The value obtained for the polymorph energy (0 for the lowest one) is 14.83 eV per formula unit. As for the magnetic moment: 0.27 μB/f.u.


Record 2
Compound: Mo2WAu
Source: the Alexandria database
Functional: PBE-GGA
Structure: optimized geometry

It has space group R-3m (No. 166, hexagonal axes), with a = 2.7898 Å, b = 2.7898 Å, c = 29.4476 Å, α = 90.00°, β = 90.00° and γ = 120.00°. The asymmetric unit holds Mo at (0.0000, 0.0000, 0.2502), W at (0.0000, 0.0000, 0.0000) and Au at (0.0000, 0.0000, 0.5000).

Its total energy is -9.09 eV/atom. The crystal system is trigonal. The value obtained for the polymorph energy (0 for the lowest one) is 0.94 eV per formula unit. As for the magnetic moment: 0.00 μB/f.u.


Record 3
Compound: RbCrTe2Au
Source: the Alexandria database
Functional: PBE-GGA
Structure: optimized geometry

It has space group Cmme (No. 67), with a = 6.653 Å, b = 15.070 Å, c = 6.594 Å, α = 90.00°, β = 90.00° and γ = 90.00°. The asymmetric unit holds Rb at (0.000, 0.250, 0.220), Cr at (0.250, 0.000, 0.500), Te at (0.000, 0.115, 0.701) and Au at (0.000, 0.000, 0.000).

Its total energy is -4.38 eV/atom. The value obtained for the uncorrected formation energy is -0.349 eV/atom. The crystal system is orthorhombic. As for the magnetic moment: 4.00 μB/f.u.


Record 4
Compound: LiAcGdDy
Source: the Alexandria database
Functional: PBE-GGA
Structure: optimized geometry

It has space group F-43m (No. 216), with a = 8.077 Å, b = 8.077 Å, c = 8.077 Å, α = 90.00°, β = 90.00° and γ = 90.00°. The asymmetric unit holds Li at (0.000, 0.000, 0.000), Ac at (0.000, 0.000, 0.500), Gd at (0.250, 0.250, 0.750) and Dy at (0.250, 0.250, 0.250).

Its total energy is -5.93 eV/atom. The crystal system is cubic. As for the magnetic moment: 7.46 μB/f.u.


Record 5
Compound: Pm6Nd5Dy
Source: the Alexandria database
Functional: PBE-GGA
Structure: optimized geometry

It has space group C2/m (No. 12), with a = 6.332 Å, b = 10.965 Å, c = 12.128 Å, α = 90.00°, β = 100.06° and γ = 90.00°. The asymmetric unit holds Pm at (0.248, 0.166, 0.249), Pm at (0.250, 0.000, 0.751), Nd at (0.000, 0.166, 0.500), Nd at (0.000, 0.333, 0.000), Nd at (0.000, 0.500, 0.500) and Dy at (0.000, 0.000, 0.000).

Its total energy is -4.73 eV/atom. The crystal system is monoclinic. As for the magnetic moment: 0.00 μB/f.u.


Record 6
Compound: CuBI2Cl
Source: the Alexandria database
Functional: PBE-GGA
Structure: optimized geometry

It has space group P4/mmm (No. 123), with a = 5.548 Å, b = 5.548 Å, c = 3.936 Å, α = 90.00°, β = 90.00° and γ = 90.00°. The asymmetric unit holds Cu at (0.000, 0.000, 0.000), B at (0.000, 0.000, 0.500), I at (0.000, 0.500, 0.000) and Cl at (0.500, 0.500, 0.500).

Its total energy is -2.39 eV/atom. The value obtained for the uncorrected formation energy is 0.753 eV/atom. The crystal system is tetragonal. As for the magnetic moment: 0.00 μB/f.u.


Record 7
Compound: Tb4PmTm2
Source: the Alexandria database
Functional: PBE-GGA
Structure: optimized geometry

It has space group C2/m (No. 12), with a = 16.664 Å, b = 3.522 Å, c = 8.725 Å, α = 90.00°, β = 119.21° and γ = 90.00°. The asymmetric unit holds Tb at (0.139, 0.000, 0.330), Tb at (0.205, 0.000, 0.794), Pm at (0.000, 0.500, 0.500) and Tm at (0.071, 0.500, 0.931).

Its total energy is -4.57 eV/atom. The crystal system is monoclinic. The value obtained for the polymorph energy (0 for the lowest one) is 0.00 eV per formula unit. As for the magnetic moment: 0.00 μB/f.u.


Record 8
Compound: Cs2BaSiTe4
Source: the Alexandria database
Functional: PBE-GGA
Structure: optimized geometry

It has space group C2/c (No. 15), with a = 12.526 Å, b = 13.856 Å, c = 9.048 Å, α = 90.00°, β = 102.16° and γ = 90.00°. The asymmetric unit holds Cs at (0.000, 0.000, 0.000), Cs at (0.250, 0.250, 0.000), Ba at (0.000, 0.500, 0.000), Si at (0.250, 0.250, 0.500), Te at (0.072, 0.263, 0.605) and Te at (0.205, 0.418, 0.328).

Its total energy is -3.34 eV/atom. The value obtained for the uncorrected formation energy is -0.642 eV/atom. The crystal system is monoclinic. As for the magnetic moment: 0.00 μB/f.u.


What calculated volume values result from the calculations? In sequence: 111; 198; 661; 527; 829; 121; 447; 1535 Å³ per cell.